No. 1
## Th2Ni12Ge3Pd (PBE)

Data for a relaxed structure of Th2Ni12Ge3Pd.

Geometry as CIF:
```
data_Th2Ni12Ge3Pd
_chemical_formula_sum 'Th6 Ni36 Ge9 Pd3'
_cell_length_a 8.6178
_cell_length_b 8.6178
_cell_length_c 12.1525
_cell_angle_alpha 90.00
_cell_angle_beta 90.00
_cell_angle_gamma 120.00
_symmetry_space_group_name_H-M 'R -3 m'
_symmetry_Int_Tables_number 166
_symmetry_space_group_name_Hall '-R 3 2"'
loop_
_atom_site_label
_atom_site_fract_x
_atom_site_fract_y
_atom_site_fract_z
_atom_site_occupancy
Th1 0.0000 0.0000 0.1650 1
Ni1 0.9999 0.5000 0.3914 1
Ni2 0.0019 0.5010 0.1964 1
Ge1 0.0000 0.5000 0.0000 1
Pd1 0.0000 0.0000 0.5000 1
```

energy of formation from the pure elements	-0.0974	eV/atom
calculated volume	14.47	A^3/atom

---

No. 2
## In2Pd2Au5 (PBE)

Data for a relaxed structure of In2Pd2Au5.

Geometry as CIF:
```
data_In2Pd2Au5
_chemical_formula_sum 'In4 Pd4 Au10'
_cell_length_a 8.514
_cell_length_b 4.788
_cell_length_c 8.114
_cell_angle_alpha 90.00
_cell_angle_beta 90.00
_cell_angle_gamma 90.00
_symmetry_space_group_name_H-M 'A m m 2'
_symmetry_Int_Tables_number 38
_symmetry_space_group_name_Hall 'A 2 -2'
loop_
_atom_site_label
_atom_site_fract_x
_atom_site_fract_y
_atom_site_fract_z
_atom_site_occupancy
In1 0.000 0.000 0.000 1
In2 0.500 0.000 0.336 1
Pd1 0.332 0.000 0.665 1
Au1 0.000 0.000 0.664 1
Au2 0.172 0.000 0.332 1
Au3 0.333 0.000 0.002 1
```

energy of formation from the pure elements	-0.1410	eV/atom
calculated volume	18.38	A^3/atom

---

No. 3
## TmMgInCl6 (PBE)

Data for a relaxed structure of TmMgInCl6.

Geometry as CIF:
```
data_TmMgInCl6
_chemical_formula_sum 'Tm2 Mg2 In2 Cl12'
_cell_length_a 6.7263
_cell_length_b 6.7263
_cell_length_c 14.1159
_cell_angle_alpha 90.00
_cell_angle_beta 90.00
_cell_angle_gamma 120.00
_symmetry_space_group_name_H-M 'P -3 1 c'
_symmetry_Int_Tables_number 163
_symmetry_space_group_name_Hall '-P 3 2c'
loop_
_atom_site_label
_atom_site_fract_x
_atom_site_fract_y
_atom_site_fract_z
_atom_site_occupancy
Tm1 0.3333 0.6667 0.2500 1
Mg1 0.3333 0.6667 0.7500 1
In1 0.0000 0.0000 0.0000 1
Cl1 0.0091 0.3777 0.6463 1
```

calculated volume	30.73	A^3/atom
formation energy from raw total energies	-1.831	eV per atom

---

No. 4
## NpAl2Pd (PBE)

Data for a relaxed structure of NpAl2Pd.

Geometry as CIF:
```
data_NpAl2Pd
_chemical_formula_sum 'Np4 Al8 Pd4'
_cell_length_a 6.673
_cell_length_b 6.673
_cell_length_c 6.673
_cell_angle_alpha 90.00
_cell_angle_beta 90.00
_cell_angle_gamma 90.00
_symmetry_space_group_name_H-M 'F m -3 m'
_symmetry_Int_Tables_number 225
_symmetry_space_group_name_Hall '-F 4 2 3'
loop_
_atom_site_label
_atom_site_fract_x
_atom_site_fract_y
_atom_site_fract_z
_atom_site_occupancy
Np1 0.000 0.000 0.000 1
Al1 0.250 0.250 0.250 1
Pd1 0.000 0.000 0.500 1
```

energy of formation from the pure elements	-0.0760	eV/atom
calculated volume	18.58	A^3/atom

---

No. 5
## Th6Hg2Os (PBE)

Data for a relaxed structure of Th6Hg2Os.

Geometry as CIF:
```
data_Th6Hg2Os
_chemical_formula_sum 'Th12 Hg4 Os2'
_cell_length_a 6.324
_cell_length_b 8.148
_cell_length_c 12.121
_cell_angle_alpha 90.00
_cell_angle_beta 120.51
_cell_angle_gamma 90.00
_symmetry_space_group_name_H-M 'P 1 21/c 1'
_symmetry_Int_Tables_number 14
_symmetry_space_group_name_Hall '-P 2ybc'
loop_
_atom_site_label
_atom_site_fract_x
_atom_site_fract_y
_atom_site_fract_z
_atom_site_occupancy
Th1 0.068 0.188 0.453 1
Th2 0.328 0.666 0.453 1
Th3 0.374 0.024 0.244 1
Hg1 0.142 0.120 0.744 1
Os1 0.500 0.000 0.500 1
```

energy of formation from the pure elements	-0.1094	eV/atom
calculated volume	29.89	A^3/atom

---

No. 6
## BaGeSbPd3 (PBE)

Data for a relaxed structure of BaGeSbPd3.

Geometry as CIF:
```
data_BaGeSbPd3
_chemical_formula_sum 'Ba4 Ge4 Sb4 Pd12'
_cell_length_a 7.069
_cell_length_b 13.076
_cell_length_c 6.593
_cell_angle_alpha 90.00
_cell_angle_beta 90.00
_cell_angle_gamma 90.00
_symmetry_space_group_name_H-M 'C m c m'
_symmetry_Int_Tables_number 63
_symmetry_space_group_name_Hall '-C 2c 2'
loop_
_atom_site_label
_atom_site_fract_x
_atom_site_fract_y
_atom_site_fract_z
_atom_site_occupancy
Ba1 0.000 0.233 0.250 1
Ge1 0.000 0.085 0.750 1
Sb1 0.000 0.465 0.750 1
Pd1 0.000 0.269 0.750 1
Pd2 0.205 0.000 0.000 1
```

calculated volume	25.39	A^3/atom
formation energy from raw total energies	-0.582	eV per atom